[1]
Compound: YTiZn2As
Source: Alexandria
Functional: PBE-GGA
Structure: relaxed

## Properties
Formation enthalpy at 0 K = 938 meV/atom

Lattice parameters (Å, degrees): 5.248 5.248 5.260 90.00 90.00 90.00
Space group P4/mmm (No. 123)
Symmetry-distinct sites (fractional):
Y (0.000, 0.000, 0.000) [1 per cell]
Ti (0.500, 0.500, 0.500) [1 per cell]
Zn (0.000, 0.500, 0.000) [2 per cell]
As (0.000, 0.000, 0.500) [1 per cell]

[2]
Compound: TiZnAs2
Source: Alexandria
Functional: PBE-GGA
Structure: relaxed

## Properties
Formation enthalpy at 0 K = -461 meV/atom

Lattice parameters (Å, degrees): 3.7163 3.7163 6.0425 90.00 90.00 120.00
Space group P-3m1 (No. 164)
Symmetry-distinct sites (fractional):
Ti (0.0000, 0.0000, 0.0000) [1 per cell]
Zn (0.0000, 0.0000, 0.5000) [1 per cell]
As (0.3333, 0.6667, 0.7514) [2 per cell]

[3]
Compound: TiZnAs2
Source: Alexandria
Functional: PBE-GGA
Structure: relaxed

## Properties
Formation enthalpy at 0 K = -246 meV/atom

Lattice parameters (Å, degrees): 5.798 5.798 11.445 90.00 90.00 90.00
Space group I-42d (No. 122)
Symmetry-distinct sites (fractional):
Ti (0.000, 0.000, 0.000) [4 per cell]
Zn (0.000, 0.000, 0.500) [4 per cell]
As (0.245, 0.250, 0.125) [8 per cell]

[4]
Compound: TiZn2As2
Source: Alexandria
Functional: PBE-GGA
Structure: relaxed

## Properties
Formation enthalpy at 0 K = -137 meV/atom

Lattice parameters (Å, degrees): 6.843 6.843 3.715 90.00 90.00 90.00
Space group P4/mbm (No. 127)
Symmetry-distinct sites (fractional):
Ti (0.000, 0.000, 0.000) [2 per cell]
Zn (0.148, 0.352, 0.500) [4 per cell]
As (0.162, 0.662, 0.000) [4 per cell]

[5]
Compound: Ti2ZnAs
Source: Alexandria
Functional: PBE-GGA
Structure: relaxed

## Properties
Distance to the lowest polymorph of the same formula = 0.00 kcal/mol of atoms
Formation enthalpy at 0 K = -285 meV/atom

Lattice parameters (Å, degrees): 6.321 6.321 6.321 90.00 90.00 90.00
Space group Fm-3m (No. 225)
Symmetry-distinct sites (fractional):
Ti (0.250, 0.250, 0.250) [8 per cell]
Zn (0.000, 0.000, 0.000) [4 per cell]
As (0.000, 0.000, 0.500) [4 per cell]

[6]
Compound: Ti2ZnAs
Source: Alexandria
Functional: PBE-GGA
Structure: relaxed

## Properties
Distance to the lowest polymorph of the same formula = 1.10 kcal/mol of atoms
Formation enthalpy at 0 K = -237 meV/atom

Lattice parameters (Å, degrees): 6.998 6.998 5.546 90.00 90.00 90.00
Space group I-42d (No. 122)
Symmetry-distinct sites (fractional):
Ti (0.241, 0.250, 0.125) [8 per cell]
Zn (0.000, 0.000, 0.500) [4 per cell]
As (0.000, 0.000, 0.000) [4 per cell]